TbMg11Pd: relaxed, PBE.

## Properties
**DOS(E_F)**: 6.921 states/eV/f.u.
**Space-group type**: C2/m
**Total magnetic moment**: 0.00 μB per atom
**Crystal system**: monoclinic
**Formation enthalpy at 0 K**: -0.14 eV/atom

abc: 7.8363 7.8363 7.5385
angles: 82.88 82.88 137.80
With the nearest neighbours (Å) after each atom.
Sites, in units of the cell vectors:
Mg 0.6454 0.9806 0.3607  1 Pd 2.99, 7 Mg 3.00-3.28
Mg 0.0000 0.5000 0.0000  8 Mg 2.82-3.10
Mg 0.5057 0.3037 0.2160  1 Pd 2.80, 6 Mg 2.93-3.06
Mg 0.3037 0.5057 0.2160  1 Pd 2.80, 6 Mg 2.93-3.06
Mg 0.5000 0.0000 0.0000  8 Mg 2.82-3.10
Mg 0.0000 0.0000 0.5000  2 Pd 2.82, 8 Mg 2.93-3.00
Mg 0.4943 0.6963 0.7840  1 Pd 2.80, 6 Mg 2.93-3.06
Mg 0.0194 0.3546 0.6393  1 Pd 2.99, 7 Mg 3.00-3.28
Mg 0.6963 0.4943 0.7840  1 Pd 2.80, 6 Mg 2.93-3.06
Mg 0.9806 0.6454 0.3607  1 Pd 2.99, 7 Mg 3.00-3.28
Mg 0.3546 0.0194 0.6393  1 Pd 2.99, 7 Mg 3.00-3.28
Pd 0.5000 0.5000 0.5000  10 Mg 2.80-2.99
Tb 0.0000 0.0000 0.0000  18 Mg 3.51-3.92, 2 Pd 3.85